Entry 1:
PBE RbTl2CdGa, relaxed; total magnetization = 0.00 Bohr magnetons per cell; calculated formation energy = 420 kJ/mol of formula units; space-group type = P4/mmm, No. 123; raw total energy = -1.06 eV per atom; polymorph energy (0 for the lowest one) = 0.810 eV/atom
1.0
6.450 0.000 0.000
0.000 6.450 0.000
0.000 0.000 6.276
Rb Tl Cd Ga
1 2 1 1
Cartesian
0.000 0.000 0.000
0.000 3.225 0.000
3.225 0.000 0.000
0.000 0.000 3.138
3.225 3.225 3.138

=====

Entry 2:
PBE RbTlCd2Ga, relaxed; total magnetization = 0.00 Bohr magnetons per cell; calculated formation energy = 27 kJ/mol of formula units; space-group type = P4/mmm, No. 123; raw total energy = -1.58 eV per atom
1.0
5.445 0.000 0.000
0.000 5.445 0.000
0.000 0.000 5.804
Rb Tl Cd Ga
1 1 2 1
Cartesian
0.000 0.000 0.000
2.722 2.722 0.000
0.000 2.722 2.902
2.722 0.000 2.902
2.722 2.722 2.902

=====

Entry 3:
PBE Rb2Tl6CdGa, relaxed; total magnetization = 0.00 Bohr magnetons per cell; calculated formation energy = 11 kJ/mol of formula units; space-group type = R-3m, No. 166; raw total energy = -2.00 eV per atom
1.0
3.860 2.229 14.219
-3.860 2.229 14.219
0.000 -4.457 14.219
Rb Tl Cd Ga
4 12 2 2
Cartesian
0.000 0.000 5.952
0.000 0.000 13.220
0.000 0.000 29.437
0.000 0.000 36.705
-2.144 -1.238 19.234
0.000 -2.572 16.653
-2.227 1.286 16.653
-2.227 -1.286 26.004
0.000 -2.476 23.423
-2.144 1.238 23.423
2.144 -1.238 19.234
0.000 2.476 19.234
2.227 1.286 16.653
2.227 -1.286 26.004
0.000 2.572 26.004
2.144 1.238 23.423
0.000 0.000 0.000
0.000 0.000 21.328
0.000 0.000 17.671
0.000 0.000 24.986

=====

Entry 4:
PBE RbZnCdGa2, relaxed; total magnetization = 1.57 Bohr magnetons per cell; calculated formation energy = 517 kJ/mol of formula units; space-group type = P4/mmm, No. 123; raw total energy = -0.77 eV per atom
1.0
6.509 0.000 0.000
0.000 6.509 0.000
0.000 0.000 6.844
Rb Zn Cd Ga
1 1 1 2
Cartesian
0.000 0.000 0.000
3.254 3.254 3.422
0.000 0.000 3.422
0.000 3.254 0.000
3.254 0.000 0.000

=====

Entry 5:
PBE CdGa2Re, relaxed; total magnetization = 0.00 Bohr magnetons per cell; calculated formation energy = 152 kJ/mol of formula units; space-group type = R-3m, No. 166; raw total energy = -4.46 eV per atom
1.0
2.781 0.000 0.000
-1.390 2.408 0.000
0.000 0.000 33.467
Cd Ga Re
3 6 3
Cartesian
0.000 0.000 0.000
0.000 1.606 22.311
1.390 0.803 11.156
0.000 0.000 14.085
0.000 0.000 19.382
0.000 1.606 2.929
0.000 1.606 8.227
1.390 0.803 25.240
1.390 0.803 30.538
0.000 0.000 16.734
0.000 1.606 5.578
1.390 0.803 27.889

=====

Entry 6:
PBE CdGaRe3, relaxed; total magnetization = 0.00 Bohr magnetons per cell; calculated formation energy = 917 kJ/mol of formula units; space-group type = Pm-3m, No. 221; raw total energy = -6.36 eV per atom; polymorph energy (0 for the lowest one) = 0.000 eV/atom
1.0
4.567 0.000 0.000
0.000 4.567 0.000
0.000 0.000 4.567
Cd Ga Re
1 1 3
Cartesian
0.000 0.000 0.000
2.283 2.283 2.283
0.000 2.283 2.283
2.283 0.000 2.283
2.283 2.283 0.000

=====

Entry 7:
PBE Cd2Ga2Re, relaxed; total magnetization = 0.00 Bohr magnetons per cell; calculated formation energy = 220 kJ/mol of formula units; space-group type = P4/mbm, No. 127; raw total energy = -3.61 eV per atom; polymorph energy (0 for the lowest one) = 0.000 eV/atom
1.0
6.803 0.000 0.000
0.000 6.803 0.000
0.000 0.000 3.999
Cd Ga Re
4 4 2
Cartesian
1.098 2.303 0.000
2.303 5.704 0.000
4.500 1.098 0.000
5.704 4.500 0.000
1.011 4.413 1.999
2.390 1.011 1.999
4.413 5.791 1.999
5.791 2.390 1.999
0.000 0.000 1.999
3.401 3.401 1.999

=====

Entry 8:
PBE CdGa2Re2, relaxed; total magnetization = 0.00 Bohr magnetons per cell; calculated formation energy = 158 kJ/mol of formula units; space-group type = P4/mbm, No. 127; raw total energy = -6.05 eV per atom
1.0
7.492 0.000 0.000
0.000 7.492 0.000
0.000 0.000 2.999
Cd Ga Re
2 4 4
Cartesian
0.000 0.000 0.000
3.746 3.746 0.000
1.318 2.427 1.499
2.427 6.173 1.499
5.064 1.318 1.499
6.173 5.064 1.499
0.869 4.615 0.000
2.876 0.869 0.000
4.615 6.622 0.000
6.622 2.876 0.000

=====

Entry 9:
PBE CdGa2Re, relaxed; total magnetization = 0.00 Bohr magnetons per cell; calculated formation energy = 244 kJ/mol of formula units; space-group type = I-42d, No. 122; raw total energy = -4.22 eV per atom
1.0
7.395 0.000 0.000
0.000 7.395 0.000
0.000 0.000 5.642
Cd Ga Re
4 8 4
Cartesian
0.000 0.000 0.000
0.000 3.698 1.411
3.698 0.000 4.232
3.698 3.698 2.821
1.549 1.849 3.526
1.849 5.247 4.937
1.849 5.846 2.116
2.148 1.849 0.705
5.247 5.546 0.705
5.546 1.549 2.116
5.546 2.148 4.937
5.846 5.546 3.526
0.000 0.000 2.821
0.000 3.698 4.232
3.698 0.000 1.411
3.698 3.698 0.000

=====

Entry 10:
PBE Cd2Ga2Re, relaxed; total magnetization = 0.00 Bohr magnetons per cell; calculated formation energy = 362 kJ/mol of formula units; space-group type = I4/mmm, No. 139; raw total energy = -3.32 eV per atom; polymorph energy (0 for the lowest one) = 0.293 eV/atom
1.0
3.622 0.000 0.000
0.000 3.622 0.000
0.000 0.000 14.980
Cd Ga Re
4 4 2
Cartesian
0.000 1.811 3.745
0.000 1.811 11.235
1.811 0.000 3.745
1.811 0.000 11.235
0.000 0.000 1.242
0.000 0.000 13.737
1.811 1.811 6.248
1.811 1.811 8.732
0.000 0.000 7.490
1.811 1.811 0.000

=====

Entry 11:
PBE CdGaRe3, relaxed; total magnetization = 4.54 Bohr magnetons per cell; calculated formation energy = 1505 kJ/mol of formula units; space-group type = Pm-3m, No. 221; raw total energy = -5.14 eV per atom; polymorph energy (0 for the lowest one) = 1.219 eV/atom
1.0
4.851 0.000 0.000
0.000 4.851 0.000
0.000 0.000 4.851
Cd Ga Re
1 1 3
Cartesian
0.000 0.000 0.000
2.425 2.425 2.425
0.000 0.000 2.425
0.000 2.425 0.000
2.425 0.000 0.000

=====

Entry 12:
PBE CdGa3Re, relaxed; total magnetization = 0.00 Bohr magnetons per cell; calculated formation energy = 156 kJ/mol of formula units; space-group type = Pm-3m, No. 221; raw total energy = -4.17 eV per atom; polymorph energy (0 for the lowest one) = 0.000 eV/atom
1.0
4.895 0.000 0.000
0.000 4.895 0.000
0.000 0.000 4.895
Cd Ga Re
1 3 1
Cartesian
0.000 0.000 0.000
0.000 2.447 2.447
2.447 0.000 2.447
2.447 2.447 0.000
2.447 2.447 2.447

=====

Entry 13:
PBE ScCdGa2Re, relaxed; total magnetization = 1.62 Bohr magnetons per cell; calculated formation energy = 587 kJ/mol of formula units; space-group type = P4/mmm, No. 123; raw total energy = -3.93 eV per atom
1.0
4.791 0.000 0.000
0.000 4.791 0.000
0.000 0.000 5.184
Sc Cd Ga Re
1 1 2 1
Cartesian
0.000 0.000 0.000
2.395 2.395 2.592
0.000 2.395 2.592
2.395 0.000 2.592
2.395 2.395 0.000

=====

Entry 14:
PBE CdGa2ReSi, relaxed; total magnetization = 3.31 Bohr magnetons per cell; space-group type = P4/mmm, No. 123; formation energy from raw total energies = 1.340 eV per atom; raw total energy = -3.63 eV per atom
1.0
4.710 0.000 0.000
0.000 4.710 0.000
0.000 0.000 4.991
Cd Ga Re Si
1 2 1 1
Cartesian
0.000 0.000 0.000
0.000 2.355 2.496
2.355 0.000 2.496
2.355 2.355 0.000
0.000 0.000 2.496

=====

Entry 15:
PBE CdGaReSn, relaxed; total magnetization = 0.00 Bohr magnetons per cell; calculated formation energy = 104 kJ/mol of formula units; space-group type = Cm, No. 8; raw total energy = -4.83 eV per atom; polymorph energy (0 for the lowest one) = 0.086 eV/atom
1.0
5.477 0.000 0.000
0.000 3.168 0.000
-1.804 0.000 9.122
Cd Ga Re Sn
2 2 2 2
Cartesian
0.000 0.000 0.000
2.739 1.584 0.000
-0.902 1.584 6.833
1.836 0.000 6.833
0.933 1.584 4.986
3.671 0.000 4.986
0.024 0.000 2.900
2.762 1.584 2.900

=====

Entry 16:
PBE CdGaReSn, relaxed; total magnetization = 0.00 Bohr magnetons per cell; calculated formation energy = 104 kJ/mol of formula units; space-group type = R3m, No. 160; raw total energy = -4.83 eV per atom; polymorph energy (0 for the lowest one) = 0.087 eV/atom
1.0
3.148 0.000 0.000
-1.574 2.726 0.000
0.000 0.000 27.572
Cd Ga Re Sn
3 3 3 3
Cartesian
0.000 0.000 0.000
0.000 1.818 18.381
1.574 0.909 9.191
0.000 0.000 20.694
0.000 1.818 11.503
1.574 0.909 2.313
0.000 0.000 4.173
0.000 1.818 22.555
1.574 0.909 13.364
0.000 0.000 24.655
0.000 1.818 15.465
1.574 0.909 6.274

=====

Entry 17:
PBE CdGaReSn, relaxed; total magnetization = 0.98 Bohr magnetons per cell; calculated formation energy = 156 kJ/mol of formula units; space-group type = Cm, No. 8; raw total energy = -4.69 eV per atom; polymorph energy (0 for the lowest one) = 0.220 eV/atom
1.0
9.961 0.000 0.000
0.000 2.983 0.000
-4.700 0.000 6.853
Cd Ga Re Sn
2 2 2 2
Cartesian
0.000 0.000 0.000
4.980 1.492 0.000
0.114 0.000 4.470
5.094 1.492 4.470
-0.237 1.492 2.417
4.744 0.000 2.417
2.459 1.492 2.324
7.439 0.000 2.324

=====

Entry 18:
PBE CdGaReSn, relaxed; total magnetization = 0.00 Bohr magnetons per cell; calculated formation energy = 95 kJ/mol of formula units; space-group type = P1, No. 1; raw total energy = -4.85 eV per atom; polymorph energy (0 for the lowest one) = 0.063 eV/atom
1.0
3.230 0.000 0.000
-0.002 3.231 0.000
-1.615 -1.612 7.746
Cd Ga Re Sn
1 1 1 1
Cartesian
0.000 0.000 0.000
0.007 0.018 5.849
1.622 1.635 4.529
0.007 0.020 2.835

=====

Entry 19:
PBE CdGaReSn, relaxed; total magnetization = 0.00 Bohr magnetons per cell; calculated formation energy = 71 kJ/mol of formula units; space-group type = Amm2, No. 38; raw total energy = -4.91 eV per atom; polymorph energy (0 for the lowest one) = 0.000 eV/atom
1.0
2.846 0.000 0.000
0.000 4.354 0.000
0.000 0.000 14.046
Cd Ga Re Sn
2 2 2 2
Cartesian
0.000 0.000 0.000
0.000 2.177 7.023
0.000 0.000 4.679
0.000 2.177 11.701
1.423 0.000 11.516
1.423 2.177 4.493
0.000 0.000 9.071
0.000 2.177 2.048

=====

Entry 20:
PBE CdGaReSn, relaxed; total magnetization = 0.00 Bohr magnetons per cell; calculated formation energy = 112 kJ/mol of formula units; space-group type = Amm2, No. 38; raw total energy = -4.81 eV per atom; polymorph energy (0 for the lowest one) = 0.108 eV/atom
1.0
2.831 0.000 0.000
0.000 4.890 0.000
0.000 0.000 12.785
Cd Ga Re Sn
2 2 2 2
Cartesian
0.000 0.000 0.000
0.000 2.445 6.393
0.000 0.000 4.295
0.000 2.445 10.688
1.415 0.000 6.509
1.415 2.445 0.116
0.000 0.000 8.921
0.000 2.445 2.529

=====

Entry 21:
PBE CdGaReSn, relaxed; total magnetization = 1.04 Bohr magnetons per cell; calculated formation energy = 135 kJ/mol of formula units; space-group type = Cm, No. 8; raw total energy = -4.75 eV per atom; polymorph energy (0 for the lowest one) = 0.165 eV/atom
1.0
8.694 0.000 0.000
0.000 3.391 0.000
-3.654 0.000 5.422
Cd Ga Re Sn
2 2 2 2
Cartesian
0.000 0.000 0.000
4.347 1.695 0.000
2.338 0.000 1.484
6.686 1.695 1.484
0.533 1.695 2.401
4.880 0.000 2.401
-1.247 0.000 3.623
3.101 1.695 3.623

=====

Entry 22:
PBE CdGaReSn, relaxed; total magnetization = 0.00 Bohr magnetons per cell; calculated formation energy = 143 kJ/mol of formula units; space-group type = Cm, No. 8; raw total energy = -4.73 eV per atom; polymorph energy (0 for the lowest one) = 0.186 eV/atom
1.0
15.836 0.000 0.000
0.000 3.354 0.000
-0.650 0.000 3.170
Cd Ga Re Sn
2 2 2 2
Cartesian
0.000 0.000 0.000
7.918 1.677 0.000
4.428 1.677 2.591
12.346 0.000 2.591
5.781 0.000 1.215
13.699 1.677 1.215
2.915 0.000 0.636
10.833 1.677 0.636

=====

Entry 23:
PBE CdGaReSn, relaxed; total magnetization = 0.00 Bohr magnetons per cell; calculated formation energy = 129 kJ/mol of formula units; space-group type = P1, No. 1; raw total energy = -4.76 eV per atom; polymorph energy (0 for the lowest one) = 0.151 eV/atom
1.0
3.442 0.000 0.000
-1.312 4.952 0.000
-1.039 -2.255 4.597
Cd Ga Re Sn
1 1 1 1
Cartesian
0.000 0.000 0.000
-0.037 0.218 3.847
1.561 1.045 2.064
-0.069 3.171 1.959

=====

Entry 24:
PBE CdGaReSn, relaxed; total magnetization = 0.00 Bohr magnetons per cell; calculated formation energy = 137 kJ/mol of formula units; space-group type = P1, No. 1; raw total energy = -4.74 eV per atom; polymorph energy (0 for the lowest one) = 0.170 eV/atom
1.0
3.462 0.000 0.000
-1.714 4.863 0.000
-1.700 -1.663 4.925
Cd Ga Re Sn
1 1 1 1
Cartesian
0.000 0.000 0.000
0.034 2.740 1.100
-1.698 3.692 2.655
-1.708 0.937 2.986

=====

Entry 25:
PBE CdGaReSn, relaxed; total magnetization = 0.00 Bohr magnetons per cell; calculated formation energy = 136 kJ/mol of formula units; space-group type = Cm, No. 8; raw total energy = -4.75 eV per atom; polymorph energy (0 for the lowest one) = 0.169 eV/atom
1.0
13.280 0.000 0.000
0.000 4.510 0.000
-0.135 0.000 2.933
Cd Ga Re Sn
2 2 2 2
Cartesian
0.000 0.000 0.000
6.640 2.255 0.000
4.903 0.000 0.266
11.543 2.255 0.266
2.555 0.000 1.573
9.195 2.255 1.573
2.460 2.255 0.098
9.101 0.000 0.098

=====

Entry 26:
PBE CdGaReSn, relaxed; total magnetization = 0.00 Bohr magnetons per cell; calculated formation energy = 148 kJ/mol of formula units; space-group type = P1, No. 1; raw total energy = -4.72 eV per atom; polymorph energy (0 for the lowest one) = 0.199 eV/atom
1.0
2.903 0.000 0.000
1.443 5.030 0.000
1.411 1.102 5.360
Cd Ga Re Sn
1 1 1 1
Cartesian
0.000 0.000 0.000
2.859 3.509 4.454
4.312 5.059 2.923
1.418 2.309 1.973

=====

Number 1: D(E_F) 2.04 states/eV per atom. Number 2: D(E_F) 0.34 states/eV per atom. Number 3: D(E_F) 0.51 states/eV per atom. Number 4: D(E_F) 1.32 states/eV per atom. Number 5: D(E_F) 0.47 states/eV per atom. Number 6: D(E_F) 1.92 states/eV per atom. Number 7: D(E_F) 0.76 states/eV per atom. Number 8: D(E_F) 0.53 states/eV per atom. Number 9: D(E_F) 0.35 states/eV per atom. Number 10: D(E_F) 0.57 states/eV per atom. Number 11: D(E_F) 1.28 states/eV per atom. Number 12: D(E_F) 0.99 states/eV per atom. Number 13: D(E_F) 0.50 states/eV per atom. Number 14: D(E_F) 0.63 states/eV per atom. Number 15: D(E_F) 0.64 states/eV per atom. Number 16: D(E_F) 0.34 states/eV per atom. Number 17: D(E_F) 0.65 states/eV per atom. Number 18: D(E_F) 0.45 states/eV per atom. Number 19: D(E_F) 0.33 states/eV per atom. Number 20: D(E_F) 0.42 states/eV per atom. Number 21: D(E_F) 0.59 states/eV per atom. Number 22: D(E_F) 0.54 states/eV per atom. Number 23: D(E_F) 0.41 states/eV per atom. Number 24: D(E_F) 0.68 states/eV per atom. Number 25: D(E_F) 0.58 states/eV per atom. Number 26: D(E_F) 0.62 states/eV per atom.